P) ! GGA-PBEsol CuNiPt, optimized geometry; values from VASP
! Fermi-level density of states (states/eV per cell): 4.36
&SYSTEM
  ibrav = 0, nat = 3, ntyp = 3
/
ATOMIC_SPECIES
Ni 58.69 Ni.upf
Pt 195.08 Pt.upf
Cu 63.55 Cu.upf
CELL_PARAMETERS angstrom
2.677 0.000 0.000
0.000 2.677 0.000
-1.339 -1.339 5.158
ATOMIC_POSITIONS crystal
Ni 0.661 0.661 0.323
Pt 0.331 0.331 0.662
Cu 0.008 0.008 0.015

***

Q) ! GGA-PBEsol CuNiPt, optimized geometry; values from VASP
! Fermi-level density of states (states/eV per cell): 4.32
&SYSTEM
  ibrav = 0, nat = 3, ntyp = 3
/
ATOMIC_SPECIES
Ni 58.69 Ni.upf
Pt 195.08 Pt.upf
Cu 63.55 Cu.upf
CELL_PARAMETERS angstrom
2.650 0.000 0.000
0.000 3.593 0.000
-1.325 -1.797 3.896
ATOMIC_POSITIONS crystal
Ni 0.335 0.335 0.670
Pt 0.668 0.668 0.336
Cu 0.997 0.997 0.994

***

Ordering by calculated energy gives the sequence Q), P), with the first entry being the most stable.

***

P) ! GGA-PBEsol CuRe2Ni, optimized geometry; values from VASP
! Fermi-level density of states (states/eV per cell): 2.95
&SYSTEM
  ibrav = 0, nat = 4, ntyp = 3
/
ATOMIC_SPECIES
Cu 63.55 Cu.upf
Ni 58.69 Ni.upf
Re 186.21 Re.upf
CELL_PARAMETERS angstrom
-0.634 -2.969 1.988
0.698 -2.083 -2.889
3.710 2.396 1.448
ATOMIC_POSITIONS crystal
Cu 0.000 0.500 0.000
Ni 0.500 0.000 0.000
Re 0.750 0.750 0.500
Re 0.250 0.250 0.500

***

Q) ! GGA-PBEsol CuRe2Ni, optimized geometry; values from VASP
! Fermi-level density of states (states/eV per cell): 3.05
&SYSTEM
  ibrav = 0, nat = 4, ntyp = 3
/
ATOMIC_SPECIES
Cu 63.55 Cu.upf
Ni 58.69 Ni.upf
Re 186.21 Re.upf
CELL_PARAMETERS angstrom
3.714 0.000 0.000
0.000 3.714 0.000
-1.857 -1.857 3.702
ATOMIC_POSITIONS crystal
Cu 0.500 0.500 0.000
Ni 0.250 0.750 0.500
Re 0.000 0.000 0.000
Re 0.750 0.250 0.500

***

Ordering by calculated energy gives the sequence Q), P), with the first entry being the most stable.

***

P) ! GGA-PBEsol Cu2ReNi, optimized geometry; values from VASP
! Fermi-level density of states (states/eV per cell): 3.13
&SYSTEM
  ibrav = 0, nat = 4, ntyp = 3
/
ATOMIC_SPECIES
Cu 63.55 Cu.upf
Ni 58.69 Ni.upf
Re 186.21 Re.upf
CELL_PARAMETERS angstrom
-1.804 1.743 0.334
-1.697 -3.091 -2.620
-1.091 -1.897 4.009
ATOMIC_POSITIONS crystal
Cu 0.998 0.997 0.984
Cu 0.248 0.495 0.764
Ni 0.501 0.002 0.480
Re 0.753 0.505 0.271

***

Q) ! GGA-PBEsol Cu2ReNi, optimized geometry; values from VASP
! Fermi-level density of states (states/eV per cell): 2.66
&SYSTEM
  ibrav = 0, nat = 4, ntyp = 3
/
ATOMIC_SPECIES
Cu 63.55 Cu.upf
Ni 58.69 Ni.upf
Re 186.21 Re.upf
CELL_PARAMETERS angstrom
2.541 0.000 0.000
0.000 3.656 0.000
0.000 0.000 5.178
ATOMIC_POSITIONS crystal
Cu 0.000 0.000 0.012
Cu 0.500 0.500 0.242
Ni 0.000 0.000 0.512
Re 0.500 0.500 0.734

***

Ordering by calculated energy gives the sequence Q), P), with the first entry being the most stable.

***

P) ! GGA-PBEsol Cu2NiRh, optimized geometry; values from VASP
! Fermi-level density of states (states/eV per cell): 6.12
&SYSTEM
  ibrav = 0, nat = 4, ntyp = 3
/
ATOMIC_SPECIES
Ni 58.69 Ni.upf
Rh 102.91 Rh.upf
Cu 63.55 Cu.upf
CELL_PARAMETERS angstrom
-0.784 1.378 -2.014
-0.099 -3.630 -2.445
-3.557 -0.657 2.565
ATOMIC_POSITIONS crystal
Ni 0.500 0.000 0.000
Rh 0.000 0.500 0.000
Cu 0.247 0.243 0.494
Cu 0.753 0.757 0.506

***

Q) ! GGA-PBEsol Cu2NiRh, optimized geometry; values from VASP
! Fermi-level density of states (states/eV per cell): 5.20
&SYSTEM
  ibrav = 0, nat = 4, ntyp = 3
/
ATOMIC_SPECIES
Ni 58.69 Ni.upf
Rh 102.91 Rh.upf
Cu 63.55 Cu.upf
CELL_PARAMETERS angstrom
2.646 0.000 0.000
0.000 4.210 0.000
0.000 0.000 4.228
ATOMIC_POSITIONS crystal
Ni 0.500 0.000 0.500
Rh 0.000 0.500 0.500
Cu 0.000 0.000 0.000
Cu 0.500 0.500 0.000

***

Ordering by calculated energy gives the sequence P), Q), with the first entry being the most stable.

***

P) ! GGA-PBEsol Cu2NiRh, optimized geometry; values from VASP
! Fermi-level density of states (states/eV per cell): 5.24
&SYSTEM
  ibrav = 0, nat = 4, ntyp = 3
/
ATOMIC_SPECIES
Ni 58.69 Ni.upf
Rh 102.91 Rh.upf
Cu 63.55 Cu.upf
CELL_PARAMETERS angstrom
-1.272 -2.223 -0.152
0.233 -1.742 1.869
-6.752 2.072 4.536
ATOMIC_POSITIONS crystal
Ni 0.500 0.500 0.500
Rh 0.000 0.000 0.000
Cu 0.246 0.246 0.261
Cu 0.754 0.754 0.739

***

Q) ! GGA-PBEsol Cu2NiRh, optimized geometry; values from VASP
! Fermi-level density of states (states/eV per cell): 5.27
&SYSTEM
  ibrav = 0, nat = 4, ntyp = 3
/
ATOMIC_SPECIES
Cu 63.55 Cu.upf
Ni 58.69 Ni.upf
Rh 102.91 Rh.upf
CELL_PARAMETERS angstrom
2.518 -0.007 0.000
-1.155 2.238 0.000
0.000 0.000 8.466
ATOMIC_POSITIONS crystal
Cu 0.000 0.000 0.261
Cu 0.000 0.000 0.739
Ni 0.500 0.500 0.500
Rh 0.500 0.500 0.000

***

R) ! GGA-PBEsol Cu2NiRh, optimized geometry; values from VASP
! Fermi-level density of states (states/eV per cell): 6.92
&SYSTEM
  ibrav = 0, nat = 4, ntyp = 3
/
ATOMIC_SPECIES
Cu 63.55 Cu.upf
Ni 58.69 Ni.upf
Rh 102.91 Rh.upf
CELL_PARAMETERS angstrom
-0.762 -1.825 1.628
-1.097 -2.588 -3.414
4.205 -0.716 1.165
ATOMIC_POSITIONS crystal
Cu 0.000 0.500 0.000
Cu 0.000 0.000 0.500
Ni 0.500 0.000 0.000
Rh 0.500 0.500 0.500

***

S) ! GGA-PBEsol Cu2NiRh, optimized geometry; values from VASP
! Fermi-level density of states (states/eV per cell): 4.51
&SYSTEM
  ibrav = 0, nat = 4, ntyp = 3
/
ATOMIC_SPECIES
Ni 58.69 Ni.upf
Rh 102.91 Rh.upf
Cu 63.55 Cu.upf
CELL_PARAMETERS angstrom
2.592 0.000 0.000
0.000 2.592 0.000
0.000 0.000 6.981
ATOMIC_POSITIONS crystal
Ni 0.000 0.000 0.493
Rh 0.500 0.500 0.742
Cu 0.000 0.000 0.010
Cu 0.500 0.500 0.254

***

Ordering by calculated energy gives the sequence S), P), R), Q), with the first entry being the most stable.

***

P) ! GGA-PBEsol Cu2NiRh, optimized geometry; values from VASP
! Fermi-level density of states (states/eV per cell): 5.69
&SYSTEM
  ibrav = 0, nat = 4, ntyp = 3
/
ATOMIC_SPECIES
Ni 58.69 Ni.upf
Rh 102.91 Rh.upf
Cu 63.55 Cu.upf
CELL_PARAMETERS angstrom
-2.416 -0.115 -1.047
-1.065 -2.995 2.783
0.433 4.521 1.823
ATOMIC_POSITIONS crystal
Ni 0.500 0.000 0.000
Rh 0.000 0.500 0.000
Cu 0.760 0.760 0.519
Cu 0.240 0.240 0.481

***

Q) ! GGA-PBEsol Cu2NiRh, optimized geometry; values from VASP
! Fermi-level density of states (states/eV per cell): 3.96
&SYSTEM
  ibrav = 0, nat = 4, ntyp = 3
/
ATOMIC_SPECIES
Ni 58.69 Ni.upf
Rh 102.91 Rh.upf
Cu 63.55 Cu.upf
CELL_PARAMETERS angstrom
-1.552 -0.612 1.960
-1.751 -1.866 -0.279
4.389 -6.367 3.175
ATOMIC_POSITIONS crystal
Ni 0.498 0.498 0.505
Rh 0.248 0.248 0.255
Cu 0.002 0.002 0.993
Cu 0.751 0.751 0.747

***

Ordering by calculated energy gives the sequence Q), P), with the first entry being the most stable.